[1]
20
Lattice="6.554 3.784 2.243 -6.554 3.784 2.243 0.000 -7.568 2.243" Properties=species:S:1:pos:R:3 comment="Ag7BiF12 (GGA-PBE, optimized geometry)" dos_at_fermi_per_ev_atom=0.64 density_g_cm3=5.930 sg="R-3 (148)" e_form_raw_ev_per_atom=-1.27 pbc="T T T"
Ag 0.000 0.000 0.000
Ag -3.833 -1.120 3.573
Ag -0.947 -3.879 3.157
Ag -2.886 2.759 3.157
Ag 2.886 -2.759 3.573
Ag 0.947 3.879 3.573
Ag 3.833 1.120 3.157
Bi 0.000 0.000 3.365
F -3.041 -3.162 3.550
F -0.707 -1.620 1.925
F -4.259 1.052 3.180
F -1.049 1.422 1.925
F 1.218 -4.215 3.180
F 1.757 0.198 1.925
F -1.757 -0.198 4.804
F -1.218 4.215 3.550
F 1.049 -1.422 4.804
F 4.259 -1.052 3.550
F 0.707 1.620 4.804
F 3.041 3.162 3.180

=====

[2]
12
Lattice="3.353 0.000 0.000 -1.676 2.904 0.000 0.000 0.000 23.721" Properties=species:S:1:pos:R:3 comment="CuReSb2 (GGA-PBE, optimized geometry)" dos_at_fermi_per_ev_atom=0.42 density_g_cm3=10.640 de_polymorph_kj_per_mol_fu=19 sg="R-3m (166)" e_form_raw_ev_per_atom=0.37 pbc="T T T"
Cu 0.000 0.000 0.000
Cu 0.000 1.936 15.814
Cu 1.676 0.968 7.907
Re 0.000 0.000 11.860
Re 0.000 1.936 3.953
Re 1.676 0.968 19.767
Sb 0.000 0.000 5.893
Sb 0.000 0.000 17.828
Sb 0.000 1.936 9.921
Sb 0.000 1.936 21.707
Sb 1.676 0.968 2.014
Sb 1.676 0.968 13.800

=====

[3]
5
Lattice="5.527 0.000 0.000 0.000 5.527 0.000 0.000 0.000 7.080" Properties=species:S:1:pos:R:3 comment="RbCdSbCl2 (GGA-PBE, optimized geometry)" dos_at_fermi_per_ev_atom=0.23 density_g_cm3=2.999 sg="P4/mmm (123)" e_form_raw_ev_per_atom=-0.43 pbc="T T T"
Rb 0.000 0.000 0.000
Cd 2.763 2.763 0.000
Sb 0.000 0.000 3.540
Cl 0.000 2.763 3.540
Cl 2.763 0.000 3.540

=====

[4]
10
Lattice="6.524 0.000 0.000 0.000 6.524 0.000 0.000 0.000 2.693" Properties=species:S:1:pos:R:3 comment="HfBe2Co2 (GGA-PBE, optimized geometry)" dos_at_fermi_per_ev_atom=0.47 density_g_cm3=9.107 de_polymorph_kj_per_mol_fu=61 delta_e_f_ev_per_atom=-0.17 sg="P4/mbm (127)" pbc="T T T"
Hf 0.000 0.000 0.000
Hf 3.262 3.262 0.000
Be 0.918 2.344 1.347
Be 2.344 5.606 1.347
Be 4.180 0.918 1.347
Be 5.606 4.180 1.347
Co 0.953 4.216 0.000
Co 2.309 0.953 0.000
Co 4.216 5.571 0.000
Co 5.571 2.309 0.000